! SmTmTlGa (GGA-PBE, relaxed); values from VASP
! * crystal system: tetragonal
! * density of states at the Fermi level: 2.0 states/eV per cell
! * E_form: -0.451 eV per atom
! * space group: P4mm
! * E: -16.39 eV per cell
! * polymorph energy (0 for the lowest one): 0.00 eV/f.u.
&SYSTEM
  ibrav = 0, nat = 4, ntyp = 4
/
ATOMIC_SPECIES
Sm 150.36 Sm.upf
Tm 168.93 Tm.upf
Tl 204.38 Tl.upf
Ga 69.72 Ga.upf
CELL_PARAMETERS angstrom
-1.4893 1.9141 2.6856
0.4687 -2.7940 2.2512
6.9874 2.7277 1.9307
ATOMIC_POSITIONS crystal
Sm 0.0000 0.0000 0.8382
Tm 0.0000 0.0000 0.3751
Tl 0.5000 0.5000 0.1180
Ga 0.5000 0.5000 0.5966